Material: Rb4I2Br
Method: DFT, GGA-PBE
State: relaxed

```
data_Rb4I2Br
_symmetry_space_group_name_H-M 'I 4/m m m'
_symmetry_Int_Tables_number 139
_symmetry_space_group_name_Hall '-I 4 2'
_cell_length_a 6.5733
_cell_length_b 6.5733
_cell_length_c 18.8674
_cell_angle_alpha 90.00
_cell_angle_beta 90.00
_cell_angle_gamma 90.00
loop_
_atom_site_label
_atom_site_type_symbol
_atom_site_fract_x
_atom_site_fract_y
_atom_site_fract_z
_atom_site_occupancy
Rb1 Rb 0.0000 0.0000 0.1926 1
Rb2 Rb 0.0000 0.5000 0.0000 1
I1 I 0.0000 0.0000 0.3837 1
Br1 Br 0.0000 0.0000 0.0000 1
```

VASP energy: -2.47 eV per atom
Distance to the lowest polymorph of the same formula: 0.0957 eV/atom
Uncorrected formation energy: -8.63 eV/f.u.

---

Material: Rb2I3Br6
Method: DFT, GGA-PBE
State: relaxed

```
data_Rb2I3Br6
_symmetry_space_group_name_H-M 'C 1 2/c 1'
_symmetry_Int_Tables_number 15
_cell_length_a 11.8993
_cell_length_b 10.6247
_cell_length_c 17.9065
_cell_angle_alpha 90.00
_cell_angle_beta 101.28
_cell_angle_gamma 90.00
loop_
_symmetry_equiv_pos_as_xyz
'x,y,z'
'-x,-y,-z'
'-x,y,-z+1/2'
'x,-y,z+1/2'
'x+1/2,y+1/2,z'
'-x+1/2,-y+1/2,-z'
'-x+1/2,y+1/2,-z+1/2'
'x+1/2,-y+1/2,z+1/2'
loop_
_atom_site_label
_atom_site_type_symbol
_atom_site_fract_x
_atom_site_fract_y
_atom_site_fract_z
_atom_site_occupancy
Rb1 Rb 0.0465 0.2370 0.0247 1
I1 I 0.0000 0.4945 0.7500 1
I2 I 0.1709 0.0514 0.7611 1
Br1 Br 0.0553 0.4944 0.9033 1
Br2 Br 0.1343 0.0511 0.6070 1
Br3 Br 0.2136 0.0478 0.9150 1
```

VASP energy: -2.17 eV per atom
Uncorrected formation energy: -7.28 eV/f.u.

---

Material: RbI2Br2
Method: DFT, GGA-PBE
State: relaxed

```
data_RbI2Br2
_symmetry_space_group_name_H-M 'P 4/m b m'
_symmetry_Int_Tables_number 127
_symmetry_space_group_name_Hall '-P 4 2ab'
_cell_length_a 9.3414
_cell_length_b 9.3414
_cell_length_c 5.6691
_cell_angle_alpha 90.00
_cell_angle_beta 90.00
_cell_angle_gamma 90.00
loop_
_atom_site_label
_atom_site_type_symbol
_atom_site_fract_x
_atom_site_fract_y
_atom_site_fract_z
_atom_site_occupancy
Rb1 Rb 0.0000 0.0000 0.0000 1
I1 I 0.1948 0.3052 0.5000 1
Br1 Br 0.1651 0.3349 0.0000 1
```

VASP energy: -2.14 eV per atom
Distance to the lowest polymorph of the same formula: 0.0000 eV/atom
Uncorrected formation energy: -3.26 eV/f.u.

---

Material: Rb8I6Br
Method: DFT, GGA-PBE
State: relaxed

```
data_Rb8I6Br
_symmetry_space_group_name_H-M 'P -3'
_symmetry_Int_Tables_number 147
_cell_length_a 13.0035
_cell_length_b 13.0035
_cell_length_c 5.6177
_cell_angle_alpha 90.00
_cell_angle_beta 90.00
_cell_angle_gamma 120.00
loop_
_symmetry_equiv_pos_as_xyz
'x,y,z'
'-x,-y,-z'
'-y,x-y,z'
'y,-x+y,-z'
'-x+y,-x,z'
'x-y,x,-z'
loop_
_atom_site_label
_atom_site_type_symbol
_atom_site_fract_x
_atom_site_fract_y
_atom_site_fract_z
_atom_site_occupancy
Rb1 Rb 0.0265 0.2970 0.2359 1
Rb2 Rb 0.3333 0.6667 0.7570 1
I1 I 0.1229 0.6567 0.2602 1
Br1 Br 0.0000 0.0000 0.0000 1
```

VASP energy: -2.55 eV per atom
Uncorrected formation energy: -19.56 eV/f.u.

---

Material: Rb3I2Br8
Method: DFT, GGA-PBE
State: relaxed

```
data_Rb3I2Br8
_symmetry_space_group_name_H-M 'R -3 m'
_symmetry_Int_Tables_number 166
_symmetry_space_group_name_Hall '-R 3 2"'
_cell_length_a 7.5122
_cell_length_b 7.5122
_cell_length_c 33.4685
_cell_angle_alpha 90.00
_cell_angle_beta 90.00
_cell_angle_gamma 120.00
loop_
_atom_site_label
_atom_site_type_symbol
_atom_site_fract_x
_atom_site_fract_y
_atom_site_fract_z
_atom_site_occupancy
Rb1 Rb 0.0000 0.0000 0.0000 1
Rb2 Rb 0.0000 0.0000 0.2017 1
I1 I 0.0000 0.0000 0.3875 1
Br1 Br 0.0000 0.0000 0.3057 1
Br2 Br 0.0375 0.5188 0.7732 1
```

VASP energy: -2.09 eV per atom
Uncorrected formation energy: -7.74 eV/f.u.

---

Material: RbIBr4
Method: DFT, GGA-PBE
State: relaxed

```
data_RbIBr4
_symmetry_space_group_name_H-M 'P -1'
_symmetry_Int_Tables_number 2
_cell_length_a 6.1695
_cell_length_b 7.5385
_cell_length_c 11.8574
_cell_angle_alpha 77.82
_cell_angle_beta 89.99
_cell_angle_gamma 65.97
loop_
_symmetry_equiv_pos_as_xyz
'x,y,z'
'-x,-y,-z'
loop_
_atom_site_label
_atom_site_type_symbol
_atom_site_fract_x
_atom_site_fract_y
_atom_site_fract_z
_atom_site_occupancy
Rb1 Rb 0.2494 0.0021 0.2504 1
I1 I 0.0000 0.5000 0.5000 1
I2 I 0.5000 0.5000 0.0000 1
Br1 Br 0.1931 0.4735 0.8467 1
Br2 Br 0.2058 0.0975 0.5747 1
Br3 Br 0.3030 0.9023 0.9244 1
Br4 Br 0.3319 0.4762 0.3461 1
```

VASP energy: -2.18 eV per atom
Distance to the lowest polymorph of the same formula: 0.0000 eV/atom
Uncorrected formation energy: -3.85 eV/f.u.